Entry 1:
DFT (PBE-GGA) results for crystalline Cs3Tl2CuBr9 at its relaxed geometry.

```
Cs3Tl2CuBr9
1.0
7.966 0.000 0.000
-3.983 6.899 0.000
0.000 0.000 9.768
Cs Tl Cu Br
3 2 1 9
Direct
0.000 0.000 0.000 Cs
0.333 0.667 0.665 Cs
0.667 0.333 0.335 Cs
0.333 0.667 0.187 Tl
0.667 0.333 0.813 Tl
0.000 0.000 0.500 Cu
0.000 0.500 0.000 Br
0.156 0.311 0.345 Br
0.156 0.844 0.345 Br
0.311 0.156 0.655 Br
0.500 0.000 0.000 Br
0.500 0.500 0.000 Br
0.689 0.844 0.345 Br
0.844 0.156 0.655 Br
0.844 0.689 0.655 Br
```

Output
The uncorrected formation energy comes out at -1046 meV/atom.



Entry 2:
DFT (PBE-GGA) results for crystalline YVCr2Ga at its relaxed geometry.

```
YVCr2Ga
1.0
4.926 0.000 0.000
0.000 4.926 0.000
0.000 0.000 4.884
Y V Cr Ga
1 1 2 1
Direct
0.000 0.000 0.000 Y
0.000 0.000 0.500 V
0.000 0.500 0.000 Cr
0.500 0.000 0.000 Cr
0.500 0.500 0.500 Ga
```

Output
The formation energy comes out at 1983 meV per atom.



Entry 3:
DFT (PBE-GGA) results for crystalline NdDy4Y3Se8 at its relaxed geometry.

```
NdDy4Y3Se8
1.0
4.101 2.367 6.699
-4.101 2.367 6.699
0.000 -4.735 6.699
Nd Dy Y Se
1 4 3 8
Direct
0.000 0.000 0.000 Nd
0.000 0.000 0.500 Dy
0.000 0.500 0.000 Dy
0.500 0.000 0.000 Dy
0.500 0.500 0.500 Dy
0.000 0.500 0.500 Y
0.500 0.000 0.500 Y
0.500 0.500 0.000 Y
0.250 0.250 0.250 Se
0.254 0.745 0.745 Se
0.255 0.255 0.746 Se
0.255 0.746 0.255 Se
0.745 0.254 0.745 Se
0.745 0.745 0.254 Se
0.746 0.255 0.255 Se
0.750 0.750 0.750 Se
```

Output
The uncorrected formation energy comes out at -1759 meV/atom.



Entry 4:
DFT (PBE-GGA) results for crystalline TaTe3W at its relaxed geometry.

```
TaTe3W
1.0
5.370 0.000 0.000
0.000 5.370 0.000
0.000 0.000 5.370
Ta Te W
1 3 1
Direct
0.000 0.000 0.000 Ta
0.000 0.000 0.500 Te
0.000 0.500 0.000 Te
0.500 0.000 0.000 Te
0.500 0.500 0.500 W
```

Output
The uncorrected formation energy comes out at 1343 meV/atom. The value obtained for the energy above the most stable polymorph in this dataset is 0.0000 eV per atom.



Entry 5:
DFT (PBE-GGA) results for crystalline InGaPbBr6 at its relaxed geometry.

```
InGaPbBr6
1.0
7.384 0.000 0.000
-3.692 6.395 0.000
0.000 0.000 6.957
In Ga Pb Br
1 1 1 6
Direct
0.000 0.000 0.000 In
0.667 0.333 0.500 Ga
0.333 0.667 0.500 Pb
0.386 0.048 0.721 Br
0.386 0.339 0.279 Br
0.661 0.048 0.279 Br
0.661 0.614 0.721 Br
0.952 0.339 0.721 Br
0.952 0.614 0.279 Br
```

Output
The uncorrected formation energy comes out at -756 meV/atom.



Entry 6:
DFT (PBE-GGA) results for crystalline Mn3BPd at its relaxed geometry.

```
Mn3BPd
1.0
3.834 0.000 0.000
0.000 3.834 0.000
0.000 0.000 3.834
Mn B Pd
3 1 1
Direct
0.000 0.000 0.500 Mn
0.000 0.500 0.000 Mn
0.500 0.000 0.000 Mn
0.000 0.000 0.000 B
0.500 0.500 0.500 Pd
```

Output
The formation energy comes out at 248 meV per atom. The value obtained for the energy above the most stable polymorph in this dataset is 0.0000 eV per atom.



Entry 7:
DFT (PBE-GGA) results for crystalline BeNb2Br2 at its relaxed geometry.

```
BeNb2Br2
1.0
6.503 0.000 0.000
0.000 6.503 0.000
0.000 0.000 4.489
Be Nb Br
2 4 4
Direct
0.000 0.000 0.000 Be
0.500 0.500 0.000 Be
0.146 0.354 0.000 Nb
0.354 0.854 0.000 Nb
0.646 0.146 0.000 Nb
0.854 0.646 0.000 Nb
0.168 0.668 0.500 Br
0.332 0.168 0.500 Br
0.668 0.832 0.500 Br
0.832 0.332 0.500 Br
```

Output
The uncorrected formation energy comes out at 568 meV/atom. The value obtained for the energy above the most stable polymorph in this dataset is 0.0000 eV per atom.



Entry 8:
DFT (PBE-GGA) results for crystalline Nd2NiHPt6 at its relaxed geometry.

```
Nd2NiHPt6
1.0
-3.128 3.128 4.434
3.128 -3.128 4.434
3.128 3.128 -4.434
Nd Ni H Pt
2 1 1 6
Direct
0.250 0.750 0.500 Nd
0.750 0.250 0.500 Nd
0.000 0.000 0.000 Ni
0.500 0.500 0.000 H
0.272 0.272 0.000 Pt
0.272 0.272 0.545 Pt
0.272 0.728 0.000 Pt
0.728 0.272 0.000 Pt
0.728 0.728 0.000 Pt
0.728 0.728 0.455 Pt
```

Output
As for the final energy: -6.05 eV per atom.



Entry 9:
DFT (PBE-GGA) results for crystalline Li3MgAg4 at its relaxed geometry.

```
Li3MgAg4
1.0
-2.772 4.721 2.647
2.772 -4.721 2.647
2.772 4.721 -2.647
Li Mg Ag
3 1 4
Direct
0.000 0.000 0.000 Li
0.494 0.732 0.762 Li
0.970 0.732 0.238 Li
0.976 0.476 0.500 Mg
0.477 0.227 0.750 Ag
0.477 0.230 0.246 Ag
0.477 0.727 0.250 Ag
0.984 0.230 0.754 Ag
```

Output
The formation energy comes out at -112 meV per atom. The value obtained for the energy above the most stable polymorph in this dataset is 0.1045 eV per atom.



Entry 10:
DFT (PBE-GGA) results for crystalline LiTlO at its relaxed geometry.

```
LiTlO
1.0
2.987 -1.725 0.000
2.987 1.725 0.000
-2.039 0.000 9.550
Li Tl O
2 2 2
Direct
0.141 0.141 0.426 Li
0.859 0.859 0.574 Li
0.396 0.396 0.194 Tl
0.604 0.604 0.806 Tl
0.213 0.213 0.635 O
0.787 0.787 0.365 O
```

Output
The uncorrected formation energy comes out at -1193 meV/atom. The value obtained for the energy above the most stable polymorph in this dataset is 0.0155 eV per atom.



Entry 11:
DFT (PBE-GGA) results for crystalline Mg2ScCr3S8 at its relaxed geometry.

```
Mg2ScCr3S8
1.0
3.654 2.110 5.945
-3.654 2.110 5.945
0.000 -4.219 5.945
Mg Sc Cr S
2 1 3 8
Direct
0.124 0.124 0.124 Mg
0.876 0.876 0.876 Mg
0.500 0.500 0.500 Sc
0.000 0.500 0.500 Cr
0.500 0.000 0.500 Cr
0.500 0.500 0.000 Cr
0.253 0.253 0.717 S
0.253 0.717 0.253 S
0.263 0.263 0.263 S
0.283 0.747 0.747 S
0.717 0.253 0.253 S
0.737 0.737 0.737 S
0.747 0.283 0.747 S
0.747 0.747 0.283 S
```

Output
The uncorrected formation energy comes out at -1112 meV/atom.



Entry 12:
DFT (PBE-GGA) results for crystalline Ag2RuAu at its relaxed geometry.

```
Ag2RuAu
1.0
-2.048 2.048 4.063
2.048 -2.048 4.063
2.048 2.048 -4.063
Ag Ru Au
2 1 1
Direct
0.250 0.750 0.500 Ag
0.750 0.250 0.500 Ag
0.000 0.000 0.000 Ru
0.500 0.500 0.000 Au
```

Output
The formation energy comes out at 466 meV per atom. The value obtained for the energy above the most stable polymorph in this dataset is 0.1688 eV per atom.



Entry 13:
DFT (PBE-GGA) results for crystalline Y2AgOs at its relaxed geometry.

```
Y2AgOs
1.0
5.460 -1.714 0.000
5.460 1.714 0.000
-1.495 0.000 4.761
Y Ag Os
2 1 1
Direct
0.000 0.000 0.000 Y
0.208 0.208 0.645 Y
0.440 0.440 0.444 Ag
0.726 0.726 0.140 Os
```

Output
The formation energy comes out at -31 meV per atom.